## CrInSbI2 (PBE-GGA)

Data for a relaxed structure of CrInSbI2.

As for the density of states at the Fermi level: 2.4 states/eV/f.u. The calculation puts the total magnetic moment at 2.38 μB per formula unit. For the energy above the most stable polymorph in this dataset, the calculation gives 0 meV per atom. For the uncorrected formation energy, the calculation gives 0.095 eV/atom.

The space group is P4/mmm (No. 123) and the conventional cell measures 5.717, 5.717 and 5.212 Å, with angles of 90.00, 90.00 and 90.00 degrees. The asymmetric unit holds Cr at (0.000, 0.000, 0.000), In at (0.500, 0.500, 0.500), Sb at (0.000, 0.000, 0.500) and I at (0.000, 0.500, 0.000).

## PrDy2Ta (PBE-GGA)

Data for a relaxed structure of PrDy2Ta.

As for the density of states at the Fermi level: 5.9 states/eV/f.u. The calculation puts the formation energy at 0.637 eV/atom. The calculation puts the total magnetic moment at 0.12 μB per formula unit.

The space group is R-3m (No. 166, hexagonal axes) and the conventional cell measures 3.3024, 3.3024 and 35.6586 Å, with angles of 90.00, 90.00 and 120.00 degrees. The asymmetric unit holds Pr at (0.0000, 0.0000, 0.0000), Dy at (0.0000, 0.0000, 0.4184) and Ta at (0.0000, 0.0000, 0.5000).

## Re2RuSe (PBE-GGA)

Data for a relaxed structure of Re2RuSe.

As for the density of states at the Fermi level: 4.2 states/eV/f.u. The calculation puts the total magnetic moment at 0.00 μB per formula unit. For the energy above the most stable polymorph in this dataset, the calculation gives 367 meV per atom. For the uncorrected formation energy, the calculation gives 0.616 eV/atom.

The space group is Pmmm (No. 47) and the conventional cell measures 2.898, 3.961 and 5.378 Å, with angles of 90.00, 90.00 and 90.00 degrees. The asymmetric unit holds Re at (0.000, 0.000, 0.230), Ru at (0.500, 0.500, 0.000) and Se at (0.500, 0.500, 0.500).

## Mg4CuRu (PBE-GGA)

Data for a relaxed structure of Mg4CuRu.

As for the density of states at the Fermi level: 4.2 states/eV/f.u. The calculation puts the formation energy at 0.493 eV/atom. The calculation puts the total magnetic moment at 0.00 μB per formula unit.

The space group is F-43m (No. 216) and the conventional cell measures 7.571, 7.571 and 7.571 Å, with angles of 90.00, 90.00 and 90.00 degrees. The asymmetric unit holds Mg at (0.125, 0.125, 0.125), Cu at (0.000, 0.000, 0.500) and Ru at (0.250, 0.250, 0.750).

## Ag2SbSe2I (PBE-GGA)

Data for a relaxed structure of Ag2SbSe2I.

As for the density of states at the Fermi level: 1.2 states/eV/f.u. The calculation puts the total magnetic moment at 0.00 μB per formula unit. For the uncorrected formation energy, the calculation gives -0.076 eV/atom.

The space group is P2_1/m (No. 11) and the conventional cell measures 6.696, 7.129 and 7.163 Å, with angles of 90.00, 97.77 and 90.00 degrees. The asymmetric unit holds Ag at (0.052, 0.250, 0.283), Ag at (0.434, 0.250, 0.542), Sb at (0.348, 0.750, 0.903), Se at (0.385, 0.013, 0.217) and I at (0.041, 0.250, 0.683).

## NdY6Cd (PBE-GGA)

Data for a relaxed structure of NdY6Cd.

As for the density of states at the Fermi level: 10.4 states/eV/f.u. The calculation puts the formation energy at 0.036 eV/atom. The calculation puts the total magnetic moment at 0.00 μB per formula unit.

The space group is R-3 (No. 148, hexagonal axes) and the conventional cell measures 9.3682, 9.3682 and 10.0158 Å, with angles of 90.00, 90.00 and 120.00 degrees. The asymmetric unit holds Nd at (0.0000, 0.0000, 0.0000), Y at (0.0246, 0.2568, 0.7152) and Cd at (0.0000, 0.0000, 0.5000).